Entry from the Alexandria database: a relaxed structure of SrLiB3 (PBE-GGA). Values from VASP.

Geometry as Quantum ESPRESSO input:
```
&SYSTEM
  ibrav = 0, nat = 5, ntyp = 3
/
ATOMIC_SPECIES
Sr 87.62 Sr.upf
Li 6.94 Li.upf
B 10.81 B.upf
CELL_PARAMETERS angstrom
4.129 0.000 0.000
0.000 4.129 0.000
0.000 0.000 4.129
ATOMIC_POSITIONS crystal
Sr 0.000 0.000 0.000
Li 0.500 0.500 0.500
B 0.000 0.500 0.500
B 0.500 0.000 0.500
B 0.500 0.500 0.000
```

Values from the calculation:
uncorrected energy	-3.306	eV per atom
symmetry	No. 221
E above lowest polymorph	0	meV per atom

***

Entry from the Alexandria database: a relaxed structure of SrLi2B (PBE-GGA). Values from VASP.

Geometry as Quantum ESPRESSO input:
```
&SYSTEM
  ibrav = 0, nat = 8, ntyp = 3
/
ATOMIC_SPECIES
Sr 87.62 Sr.upf
Li 6.94 Li.upf
B 10.81 B.upf
CELL_PARAMETERS angstrom
-2.324 2.324 7.955
2.324 -2.324 7.955
2.324 2.324 -7.955
ATOMIC_POSITIONS crystal
Sr 0.375 0.625 0.750
Sr 0.625 0.375 0.250
Li 0.000 0.000 0.000
Li 0.000 0.000 0.500
Li 0.000 0.500 0.000
Li 0.500 0.000 0.500
B 0.125 0.875 0.250
B 0.875 0.125 0.750
```

Values from the calculation:
uncorrected energy	-2.489	eV per atom
symmetry	No. 141

***

Entry from the Alexandria database: a relaxed structure of SrLi2B2 (PBE-GGA). Values from VASP.

Geometry as Quantum ESPRESSO input:
```
&SYSTEM
  ibrav = 0, nat = 5, ntyp = 3
/
ATOMIC_SPECIES
Sr 87.62 Sr.upf
Li 6.94 Li.upf
B 10.81 B.upf
CELL_PARAMETERS angstrom
-2.125 2.125 4.303
2.125 -2.125 4.303
2.125 2.125 -4.303
ATOMIC_POSITIONS crystal
Sr 0.000 0.000 0.000
Li 0.250 0.750 0.500
Li 0.750 0.250 0.500
B 0.410 0.410 0.000
B 0.590 0.590 0.000
```

Values from the calculation:
uncorrected energy	-3.625	eV per atom
symmetry	No. 139

***

Entry from the Alexandria database: a relaxed structure of SrLi3B (PBE-GGA). Values from VASP.

Geometry as Quantum ESPRESSO input:
```
&SYSTEM
  ibrav = 0, nat = 5, ntyp = 3
/
ATOMIC_SPECIES
Sr 87.62 Sr.upf
Li 6.94 Li.upf
B 10.81 B.upf
CELL_PARAMETERS angstrom
5.849 0.000 0.000
0.000 5.849 0.000
0.000 0.000 5.849
ATOMIC_POSITIONS crystal
Sr 0.000 0.000 0.000
Li 0.000 0.000 0.500
Li 0.000 0.500 0.000
Li 0.500 0.000 0.000
B 0.500 0.500 0.500
```

Values from the calculation:
uncorrected energy	-1.018	eV per atom
symmetry	No. 221
E above lowest polymorph	1513	meV per atom